{
  "formula": "Ac3Ge4",
  "functional": "GGA-PBE",
  "state": "optimized geometry",
  "cell": [[4.540, 0.000, 0.000], [-2.270, 5.782, 0.000], [0.000, -0.001, 15.274]],
  "species": ["Ac", "Ac", "Ac", "Ac", "Ac", "Ac", "Ge", "Ge", "Ge", "Ge", "Ge", "Ge", "Ge", "Ge"],
  "fractional_positions": [[0.323, 0.646, 0.597], [0.032, 0.063, 0.750], [0.679, 0.359, 0.096], [0.679, 0.359, 0.404], [0.323, 0.646, 0.904], [0.971, 0.942, 0.250], [0.252, 0.504, 0.250], [0.001, 0.003, 0.000], [0.750, 0.500, 0.750], [0.001, 0.002, 0.500], [0.611, 0.223, 0.891], [0.391, 0.782, 0.391], [0.611, 0.223, 0.610], [0.391, 0.782, 0.110]],
  "formation_enthalpy_0k_mev_per_atom": -678,
  "crystal_system": "orthorhombic",
  "de_polymorph_mev_per_atom": 0.0
}

---

{
  "formula": "Ac3Ge2",
  "functional": "GGA-PBE",
  "state": "optimized geometry",
  "cell": [[-0.005, 0.181, -4.549], [-5.085, -11.113, -0.436], [-11.398, 5.207, 0.220]],
  "species": ["Ac", "Ac", "Ac", "Ac", "Ac", "Ac", "Ac", "Ac", "Ac", "Ac", "Ac", "Ac", "Ge", "Ge", "Ge", "Ge", "Ge", "Ge", "Ge", "Ge"],
  "fractional_positions": [[0.250, 0.867, 0.045], [0.750, 0.051, 0.623], [0.750, 0.801, 0.770], [0.750, 0.699, 0.270], [0.750, 0.133, 0.955], [0.750, 0.367, 0.455], [0.250, 0.949, 0.377], [0.250, 0.633, 0.545], [0.250, 0.199, 0.230], [0.750, 0.449, 0.123], [0.250, 0.301, 0.730], [0.250, 0.551, 0.877], [0.250, 0.315, 0.998], [0.250, 0.185, 0.498], [0.750, 0.499, 0.686], [0.750, 0.001, 0.186], [0.750, 0.685, 0.002], [0.250, 0.501, 0.314], [0.250, 0.999, 0.814], [0.750, 0.815, 0.502]],
  "formation_enthalpy_0k_mev_per_atom": -604,
  "crystal_system": "orthorhombic",
  "de_polymorph_mev_per_atom": 0.0
}

---

{
  "formula": "Ac5Ge2",
  "functional": "GGA-PBE",
  "state": "optimized geometry",
  "cell": [[-3.039, 0.718, -6.461], [-1.505, -8.168, -0.200], [-6.081, 2.172, 7.087]],
  "species": ["Ac", "Ac", "Ac", "Ac", "Ac", "Ac", "Ac", "Ac", "Ac", "Ac", "Ge", "Ge", "Ge", "Ge"],
  "fractional_positions": [[0.407, 0.750, 0.000], [0.809, 0.578, 0.811], [0.999, 0.922, 0.189], [0.001, 0.078, 0.811], [0.603, 0.799, 0.441], [0.162, 0.701, 0.559], [0.838, 0.299, 0.441], [0.191, 0.422, 0.189], [0.593, 0.250, 0.000], [0.397, 0.201, 0.559], [0.209, 0.415, 0.780], [0.791, 0.585, 0.220], [0.571, 0.915, 0.780], [0.429, 0.085, 0.220]],
  "formation_enthalpy_0k_mev_per_atom": -440,
  "crystal_system": "monoclinic"
}

---

Q: Which formula does entry 2 have?
A: Ac3Ge2